Below is a relaxed structure of NaEuHgPb, with properties calculated at the PBE level.

Cell lengths 5.445, 5.445, 5.445 Å; angles 60.00, 60.00, 60.00 degrees
Last column: magnetic moment on the atom in μB.
Element x y z (fractional)
Na 0.000 0.000 0.000  0.00
Eu 0.500 0.500 0.500  -6.80
Pb 0.250 0.250 0.250  0.02
Hg 0.750 0.750 0.750  0.00

Results
* theoretical density: 8.48 Mg/m³
* VASP energy: -17.1 eV/cell
* total moment: 6.9 Bohr magnetons per cell
* DFT formation energy: -0.381 eV/atom

***

Below is a relaxed structure of PmSm2Al3, with properties calculated at the PBE level.

Cell lengths 5.204, 8.233, 7.400 Å; angles 90.00, 90.00, 71.58 degrees
Element x y z (fractional)
Al 0.500 0.000 0.252
Sm 0.000 0.000 0.000
Pm 0.667 0.667 0.000
Al 0.834 0.332 0.749
Al 0.834 0.332 0.251
Sm 0.667 0.666 0.500
Pm 0.333 0.333 0.000
Al 0.166 0.668 0.749
Sm 0.333 0.334 0.500
Sm 0.000 0.000 0.500
Al 0.166 0.668 0.251
Al 0.500 0.000 0.748

Results
* theoretical density: 5.82 Mg/m³
* VASP energy: -55.3 eV/cell
* total moment: 0.0 Bohr magnetons per cell
* DFT formation energy: -0.371 eV/atom

***

Below is a relaxed structure of Cs2TiSiBr6, with properties calculated at the PBE level.

Cell lengths 7.755, 7.755, 7.754 Å; angles 60.00, 60.00, 90.00 degrees
Last column: magnetic moment on the atom in μB.
Element x y z (fractional)
Br 0.753 0.247 0.000  -0.01
Cs 0.750 0.250 0.500  0.00
Br 0.247 0.247 0.000  0.00
Br 0.753 0.753 0.494  0.00
Br 0.247 0.247 0.506  0.00
Si 0.500 0.500 0.000  0.02
Ti 0.000 0.000 0.000  1.59
Br 0.753 0.753 0.000  0.00
Br 0.247 0.753 0.000  -0.01
Cs 0.250 0.750 0.500  0.00

Results
* theoretical density: 4.14 Mg/m³
* VASP energy: -36.0 eV/cell
* total moment: 2.0 Bohr magnetons per cell
* formation energy without anion corrections: -10.93 eV per formula unit

***

Below is a relaxed structure of CaBeCl2, with properties calculated at the PBE level.

Cell lengths 5.368, 5.189, 4.926 Å; angles 87.44, 64.07, 117.57 degrees
Element x y z (fractional)
Cl 0.000 0.000 0.000
Ca 0.500 0.000 0.500
Be 0.500 0.500 0.000
Cl 0.000 0.500 0.500

Results
* theoretical density: 1.92 Mg/m³
* VASP energy: -12.0 eV/cell
* total moment: 0.0 Bohr magnetons per cell
* formation energy without anion corrections: -2.61 eV per formula unit
* excess energy over the best structure of this formula in the dataset: 38.41 kJ per mole of atoms

***

Below is a relaxed structure of Ca4Sb2H, with properties calculated at the PBE level.

Cell lengths 4.702, 4.702, 9.040 Å; angles 74.92, 74.92, 90.00 degrees
Element x y z (fractional)
Sb 0.635 0.635 0.731
Sb 0.365 0.365 0.269
Ca 0.000 0.500 0.000
Ca 0.824 0.824 0.352
H 0.000 0.000 0.000
Ca 0.176 0.176 0.648
Ca 0.500 0.000 0.000

Results
* theoretical density: 3.62 Mg/m³
* VASP energy: -25.7 eV/cell
* total moment: 0.0 Bohr magnetons per cell
* excess energy over the best structure of this formula in the dataset: 0.00 kJ per mole of atoms

***

Below is a relaxed structure of AsNCl2, with properties calculated at the PBE level.

Cell lengths 6.216, 6.216, 6.254 Å; angles 60.20, 60.20, 90.00 degrees
Element x y z (fractional)
N 0.500 0.500 0.000
Cl 0.875 0.625 0.750
N 0.250 0.750 0.500
Cl 0.375 0.125 0.250
Cl 0.375 0.625 0.750
Cl 0.375 0.625 0.250
As 0.000 0.000 0.000
As 0.750 0.250 0.500

Results
* theoretical density: 3.09 Mg/m³
* VASP energy: -22.1 eV/cell
* total moment: 0.0 Bohr magnetons per cell
* formation energy without anion corrections: 5.62 eV per formula unit

***

Below is a relaxed structure of Si2OsRu2, with properties calculated at the PBE level.

Cell lengths 7.026, 7.026, 2.773 Å; angles 90.00, 90.00, 90.00 degrees
Element x y z (fractional)
Ru 0.863 0.637 0.000
Os 0.500 0.500 0.000
Si 0.337 0.163 0.500
Si 0.837 0.337 0.500
Si 0.163 0.663 0.500
Si 0.663 0.837 0.500
Ru 0.137 0.363 0.000
Os 0.000 0.000 0.000
Ru 0.363 0.863 0.000
Ru 0.637 0.137 0.000

Results
* theoretical density: 10.88 Mg/m³
* VASP energy: -81.2 eV/cell
* total moment: 0.0 Bohr magnetons per cell
* formation energy without anion corrections: 0.04 eV per formula unit
* excess energy over the best structure of this formula in the dataset: 26.04 kJ per mole of atoms

***

Below is a relaxed structure of SrAc12Nd6, with properties calculated at the PBE level.

Cell lengths 9.820, 9.820, 9.820 Å; angles 102.72, 102.72, 102.72 degrees
Element x y z (fractional)
Nd 0.755 0.755 0.283
Ac 0.116 0.884 0.500
Nd 0.245 0.717 0.245
Sr 0.000 0.000 0.000
Ac 0.833 0.565 0.565
Nd 0.717 0.245 0.245
Nd 0.245 0.245 0.717
Ac 0.116 0.500 0.884
Ac 0.435 0.167 0.435
Ac 0.500 0.116 0.884
Nd 0.755 0.283 0.755
Ac 0.435 0.435 0.167
Ac 0.565 0.833 0.565
Ac 0.167 0.435 0.435
Ac 0.884 0.500 0.116
Ac 0.565 0.565 0.833
Nd 0.283 0.755 0.755
Ac 0.884 0.116 0.500
Ac 0.500 0.884 0.116

Results
* theoretical density: 7.06 Mg/m³
* VASP energy: -72.8 eV/cell
* total moment: 0.0 Bohr magnetons per cell
* DFT formation energy: 0.357 eV/atom

***

Below is a relaxed structure of Pr2NdSm7, with properties calculated at the PBE level.

Cell lengths 5.433, 9.627, 9.627 Å; angles 125.96, 90.00, 90.00 degrees
Element x y z (fractional)
Sm 0.000 0.790 0.210
Sm 0.500 0.500 0.500
Pr 0.500 0.703 0.297
Sm 0.000 0.210 0.790
Sm 0.500 0.710 0.930
Sm 0.500 0.070 0.290
Nd 0.000 0.000 0.000
Pr 0.500 0.297 0.703
Sm 0.500 0.290 0.070
Sm 0.500 0.930 0.710

Results
* theoretical density: 6.02 Mg/m³
* VASP energy: -41.0 eV/cell
* total moment: 0.0 Bohr magnetons per cell
* DFT formation energy: 0.636 eV/atom
* excess energy over the best structure of this formula in the dataset: 59.96 kJ per mole of atoms

***

Below is a relaxed structure of AcPuBiO6, with properties calculated at the PBE level.

Cell lengths 6.147, 6.147, 9.054 Å; angles 90.00, 90.00, 120.00 degrees
Last column: magnetic moment on the atom in μB.
Element x y z (fractional)
O 0.947 0.629 0.371  -0.08
Ac 0.667 0.333 0.750  0.00
Ac 0.333 0.667 0.250  0.00
O 0.681 0.629 0.129  -0.08
O 0.319 0.947 0.629  -0.08
O 0.371 0.319 0.371  -0.08
Pu 0.667 0.333 0.250  2.50
O 0.053 0.371 0.629  -0.08
O 0.947 0.319 0.129  -0.08
O 0.681 0.053 0.371  -0.08
O 0.371 0.053 0.129  -0.08
Bi 0.000 0.000 0.500  0.01
O 0.053 0.681 0.871  -0.08
O 0.319 0.371 0.871  -0.08
Pu 0.333 0.667 0.750  2.50
O 0.629 0.947 0.871  -0.08
Bi 0.000 0.000 0.000  0.01
O 0.629 0.681 0.629  -0.08

Results
* theoretical density: 8.70 Mg/m³
* VASP energy: -146.1 eV/cell
* total moment: 4.0 Bohr magnetons per cell
* formation energy without anion corrections: -21.00 eV per formula unit

***

Below is a relaxed structure of PrBiPdPt, with properties calculated at the PBE level.

Cell lengths 5.029, 5.029, 5.029 Å; angles 60.00, 60.00, 60.00 degrees
Element x y z (fractional)
Pr 0.000 0.000 0.000
Bi 0.500 0.500 0.500
Pd 0.250 0.250 0.250
Pt 0.750 0.750 0.750

Results
* theoretical density: 12.02 Mg/m³
* VASP energy: -22.6 eV/cell
* total moment: 0.0 Bohr magnetons per cell
* DFT formation energy: -0.687 eV/atom

***

Below is a relaxed structure of Li3SbP2O8, with properties calculated at the PBE level.

Cell lengths 6.849, 4.749, 10.300 Å; angles 84.65, 90.00, 90.00 degrees
Element x y z (fractional)
O 0.069 0.204 0.649
O 0.073 0.259 0.159
O 0.750 0.274 0.927
O 0.569 0.796 0.351
P 0.750 0.920 0.416
Li 0.500 0.500 0.500
P 0.250 0.080 0.584
Li 0.750 0.517 0.239
Sb 0.750 0.043 0.717
O 0.931 0.796 0.351
O 0.431 0.204 0.649
Li 0.250 0.483 0.761
P 0.750 0.598 0.924
O 0.250 0.726 0.073
O 0.250 0.293 0.941
Li 0.000 0.000 0.000
O 0.750 0.241 0.417
P 0.250 0.402 0.076
O 0.250 0.233 0.438
O 0.750 0.707 0.059
Li 0.500 0.000 0.000
O 0.750 0.767 0.562
O 0.250 0.759 0.583
O 0.927 0.741 0.841
O 0.573 0.741 0.841
O 0.427 0.259 0.159
Li 0.000 0.500 0.500
Sb 0.250 0.957 0.283

Results
* theoretical density: 3.31 Mg/m³
* VASP energy: -180.3 eV/cell
* total moment: 0.0 Bohr magnetons per cell
* formation energy without anion corrections: -29.82 eV per formula unit
* excess energy over the best structure of this formula in the dataset: 0.00 kJ per mole of atoms

***

Below is a relaxed structure of Tc2TeSe, with properties calculated at the PBE level.

Cell lengths 3.239, 3.389, 6.787 Å; angles 90.02, 90.00, 90.00 degrees
Element x y z (fractional)
Tc 0.000 0.750 0.469
Te 0.500 0.250 0.250
Tc 0.000 0.750 0.031
Se 0.500 0.750 0.750

Results
* theoretical density: 8.97 Mg/m³
* VASP energy: -25.9 eV/cell
* total moment: 0.0 Bohr magnetons per cell
* formation energy without anion corrections: 1.48 eV per formula unit
* excess energy over the best structure of this formula in the dataset: 36.95 kJ per mole of atoms

***

Below is a relaxed structure of HgIN2, with properties calculated at the PBE level.

Cell lengths 4.935, 4.935, 6.983 Å; angles 69.31, 69.31, 90.00 degrees
Element x y z (fractional)
Hg 0.750 0.250 0.500
N 0.375 0.407 0.750
I 0.500 0.500 0.000
Hg 0.000 0.000 0.000
N 0.593 0.125 0.250
N 0.875 0.843 0.750
N 0.157 0.625 0.250
I 0.250 0.750 0.500

Results
* theoretical density: 8.01 Mg/m³
* VASP energy: -23.9 eV/cell
* total moment: 0.0 Bohr magnetons per cell
* formation energy without anion corrections: 6.58 eV per formula unit
* excess energy over the best structure of this formula in the dataset: 154.67 kJ per mole of atoms

***

Below is a relaxed structure of Er2PtC, with properties calculated at the PBE level.

Cell lengths 3.649, 3.649, 6.972 Å; angles 74.83, 74.83, 60.00 degrees
Element x y z (fractional)
Pt 0.000 0.000 0.000
C 0.500 0.500 0.500
Er 0.234 0.234 0.299
Er 0.766 0.766 0.701

Results
* theoretical density: 11.73 Mg/m³
* VASP energy: -27.0 eV/cell
* total moment: 0.0 Bohr magnetons per cell
* DFT formation energy: -0.664 eV/atom

***

Below is a relaxed structure of ZrTlP3, with properties calculated at the PBE level.

Cell lengths 5.085, 5.085, 5.085 Å; angles 90.00, 90.00, 90.00 degrees
Element x y z (fractional)
P 0.000 0.500 0.000
P 0.000 0.000 0.500
Zr 0.000 0.000 0.000
Tl 0.500 0.500 0.500
P 0.500 0.000 0.000

Results
* theoretical density: 4.91 Mg/m³
* VASP energy: -26.2 eV/cell
* total moment: 0.0 Bohr magnetons per cell
* DFT formation energy: 0.189 eV/atom
* excess energy over the best structure of this formula in the dataset: 0.00 kJ per mole of atoms

***

Below is a relaxed structure of Pm5Er3Mg, with properties calculated at the PBE level.

Cell lengths 9.963, 9.963, 9.117 Å; angles 58.95, 58.95, 72.03 degrees
Element x y z (fractional)
Pm 0.813 0.813 0.938
Er 0.642 0.642 0.802
Er 0.000 0.000 0.500
Pm 0.187 0.187 0.062
Pm 0.550 0.550 0.247
Pm 0.450 0.450 0.753
Mg 0.867 0.867 0.405
Er 0.298 0.298 0.627
Pm 0.595 0.068 0.640
Pm 0.932 0.405 0.360
Pm 0.405 0.932 0.360
Er 0.000 0.000 0.000
Pm 0.068 0.595 0.640
Er 0.702 0.702 0.373
Pm 0.744 0.256 0.000
Mg 0.133 0.133 0.595
Pm 0.256 0.744 0.000
Er 0.358 0.358 0.198

Results
* theoretical density: 6.27 Mg/m³
* VASP energy: -68.2 eV/cell
* total moment: 0.0 Bohr magnetons per cell
* DFT formation energy: 0.548 eV/atom

***

Below is a relaxed structure of CeY3Fe8, with properties calculated at the PBE level.

Cell lengths 5.157, 5.157, 8.906 Å; angles 73.17, 73.17, 60.00 degrees
Last column: magnetic moment on the atom in μB.
Element x y z (fractional)
Y 0.500 0.500 0.499  -0.38
Ce 0.874 0.874 0.377  -0.80
Fe 0.937 0.937 0.688  2.07
Fe 0.939 0.437 0.187  2.10
Fe 0.437 0.939 0.187  2.10
Fe 0.688 0.688 0.936  2.06
Y 0.000 0.000 0.001  -0.39
Fe 0.437 0.437 0.187  2.10
Fe 0.188 0.188 0.437  2.13
Fe 0.437 0.937 0.688  2.07
Fe 0.937 0.437 0.688  2.07
Y 0.375 0.375 0.874  -0.39

Results
* theoretical density: 7.33 Mg/m³
* VASP energy: -93.8 eV/cell
* total moment: 13.6 Bohr magnetons per cell
* DFT formation energy: -0.063 eV/atom

***

Below is a relaxed structure of Sm2BiI3, with properties calculated at the PBE level.

Cell lengths 4.645, 9.852, 11.822 Å; angles 81.24, 78.67, 76.36 degrees
Element x y z (fractional)
Sm 0.865 0.438 0.832
I 0.339 0.305 0.018
I 0.057 0.140 0.747
Sm 0.606 0.235 0.554
I 0.762 0.873 0.604
Bi 0.596 0.472 0.337
Sm 0.135 0.562 0.168
Bi 0.404 0.528 0.663
I 0.661 0.695 0.982
I 0.238 0.127 0.396
Sm 0.394 0.765 0.446
I 0.943 0.860 0.253

Results
* theoretical density: 5.77 Mg/m³
* VASP energy: -49.3 eV/cell
* total moment: 0.0 Bohr magnetons per cell
* formation energy without anion corrections: -6.69 eV per formula unit

***

Below is a relaxed structure of Sb8Pb3, with properties calculated at the PBE level.

Cell lengths 4.476, 4.476, 20.855 Å; angles 83.84, 83.84, 60.00 degrees
Element x y z (fractional)
Pb 0.276 0.276 0.172
Sb 0.905 0.905 0.286
Pb 0.724 0.724 0.828
Sb 0.453 0.453 0.642
Sb 0.179 0.179 0.464
Sb 0.821 0.821 0.536
Sb 0.095 0.095 0.714
Sb 0.547 0.547 0.358
Pb 0.000 0.000 0.000
Sb 0.365 0.365 0.906
Sb 0.635 0.635 0.094

Results
* theoretical density: 7.38 Mg/m³
* VASP energy: -44.1 eV/cell
* total moment: 0.0 Bohr magnetons per cell
* formation energy without anion corrections: 0.05 eV per formula unit

***

Below is a relaxed structure of CaPaIrO6, with properties calculated at the PBE level.

Cell lengths 5.515, 5.515, 9.956 Å; angles 90.00, 90.00, 120.00 degrees
Last column: magnetic moment on the atom in μB.
Element x y z (fractional)
O 0.657 0.026 0.360  0.12
O 0.369 0.026 0.140  0.12
Pa 0.333 0.667 0.250  0.07
O 0.631 0.657 0.640  0.12
O 0.343 0.369 0.860  0.12
O 0.026 0.657 0.860  0.12
Ir 0.667 0.333 0.250  1.04
O 0.974 0.343 0.140  0.12
Ir 0.333 0.667 0.750  1.04
O 0.026 0.369 0.640  0.12
O 0.631 0.974 0.860  0.12
Ca 0.000 0.000 0.500  0.01
O 0.657 0.631 0.140  0.12
O 0.343 0.974 0.640  0.12
O 0.974 0.631 0.360  0.12
Pa 0.667 0.333 0.750  0.07
Ca 0.000 0.000 0.000  0.01
O 0.369 0.343 0.360  0.12

Results
* theoretical density: 7.08 Mg/m³
* VASP energy: -141.9 eV/cell
* total moment: 4.1 Bohr magnetons per cell
* formation energy without anion corrections: -20.86 eV per formula unit